No. 1
Density functional theory data (meta-GGA SCAN) for TlTeBr2 at its PBEsol-relaxed geometry.

distance to the lowest polymorph of the same formula	297	meV per atom
DOS(E_F)	0.429	states/eV/atom
symmetry	R-3m
M_tot	0.00	μB per cell

Structure (CIF):
```
data_TlTeBr2
_symmetry_space_group_name_H-M 'P 1'
_symmetry_Int_Tables_number 1
_cell_length_a 3.463
_cell_length_b 3.463
_cell_length_c 10.972
_cell_angle_alpha 80.92
_cell_angle_beta 80.92
_cell_angle_gamma 60.00
loop_
_symmetry_equiv_pos_as_xyz
'x,y,z'
loop_
_atom_site_label
_atom_site_type_symbol
_atom_site_fract_x
_atom_site_fract_y
_atom_site_fract_z
_atom_site_occupancy
Tl1 Tl 0.000 0.000 0.000 1
Te1 Te 0.500 0.500 0.500 1
Br1 Br 0.907 0.907 0.280 1
Br2 Br 0.093 0.093 0.720 1
```

No. 2
Density functional theory data (meta-GGA SCAN) for BaIr2O6 at its PBEsol-relaxed geometry.

DOS(E_F)	0.456	states/eV/atom
symmetry	R3
M_tot	0.00	μB per cell
E_tot	-25.703	eV per atom

Structure (CIF):
```
data_BaIr2O6
_symmetry_space_group_name_H-M 'P 1'
_symmetry_Int_Tables_number 1
_cell_length_a 8.108
_cell_length_b 8.174
_cell_length_c 8.174
_cell_angle_alpha 70.37
_cell_angle_beta 70.69
_cell_angle_gamma 109.31
loop_
_symmetry_equiv_pos_as_xyz
'x,y,z'
loop_
_atom_site_label
_atom_site_type_symbol
_atom_site_fract_x
_atom_site_fract_y
_atom_site_fract_z
_atom_site_occupancy
Ba1 Ba 0.007 0.373 0.997 1
Ba2 Ba 0.634 0.630 0.373 1
Ba3 Ba 0.004 0.997 0.630 1
Ir1 Ir 0.161 0.662 0.493 1
Ir2 Ir 0.655 0.493 0.844 1
Ir3 Ir 0.499 0.844 0.662 1
Ir4 Ir 0.499 0.154 0.339 1
Ir5 Ir 0.345 0.507 0.154 1
Ir6 Ir 0.838 0.339 0.507 1
O1 O 0.989 0.632 0.371 1
O2 O 0.635 0.353 0.698 1
O3 O 0.282 0.949 0.353 1
O4 O 0.951 0.636 0.721 1
O5 O 0.315 0.643 0.636 1
O6 O 0.647 0.289 0.052 1
O7 O 0.672 0.721 0.643 1
O8 O 0.644 0.642 0.997 1
O9 O 0.641 0.997 0.361 1
O10 O 0.360 0.371 0.997 1
O11 O 0.360 0.309 0.356 1
O12 O 0.333 0.698 0.949 1
O13 O 0.716 0.356 0.335 1
O14 O 0.051 0.335 0.309 1
O15 O 0.357 0.997 0.632 1
O16 O 0.699 0.052 0.659 1
O17 O 0.358 0.659 0.289 1
O18 O 0.003 0.361 0.642 1
```

No. 3
Density functional theory data (meta-GGA SCAN) for Cd2ReAu at its PBEsol-relaxed geometry.

distance to the lowest polymorph of the same formula	117	meV per atom
DOS(E_F)	0.441	states/eV/atom
symmetry	Imm2
DFT formation energy	1.94	eV/f.u.
M_tot	0.00	μB per cell

Structure (CIF):
```
data_Cd2ReAu
_symmetry_space_group_name_H-M 'P 1'
_symmetry_Int_Tables_number 1
_cell_length_a 2.807
_cell_length_b 4.959
_cell_length_c 5.827
_cell_angle_alpha 115.18
_cell_angle_beta 103.94
_cell_angle_gamma 90.00
loop_
_symmetry_equiv_pos_as_xyz
'x,y,z'
loop_
_atom_site_label
_atom_site_type_symbol
_atom_site_fract_x
_atom_site_fract_y
_atom_site_fract_z
_atom_site_occupancy
Re1 Re 0.492 0.492 0.985 1
Au1 Au 0.762 0.262 0.523 1
Cd1 Cd 0.008 0.008 0.016 1
Cd2 Cd 0.238 0.738 0.476 1
```

No. 4
Density functional theory data (meta-GGA SCAN) for AlFe2As at its PBEsol-relaxed geometry.

distance to the lowest polymorph of the same formula	23	meV per atom
DOS(E_F)	0.352	states/eV/atom
symmetry	R-3m
DFT formation energy	0.15	eV/f.u.
M_tot	4.20	μB per cell

Structure (CIF):
```
data_AlFe2As
_symmetry_space_group_name_H-M 'P 1'
_symmetry_Int_Tables_number 1
_cell_length_a 2.779
_cell_length_b 2.779
_cell_length_c 7.665
_cell_angle_alpha 79.55
_cell_angle_beta 79.55
_cell_angle_gamma 60.00
loop_
_symmetry_equiv_pos_as_xyz
'x,y,z'
loop_
_atom_site_label
_atom_site_type_symbol
_atom_site_fract_x
_atom_site_fract_y
_atom_site_fract_z
_atom_site_occupancy
As1 As 0.000 0.000 0.000 1
Fe1 Fe 0.254 0.254 0.238 1
Fe2 Fe 0.746 0.746 0.762 1
Al1 Al 0.500 0.500 0.500 1
```

No. 5
Density functional theory data (meta-GGA SCAN) for Rb2ZnI4 at its PBEsol-relaxed geometry.

DOS(E_F)	0.000	states/eV/atom
symmetry	P2_1/m
M_tot	0.00	μB per cell
E_tot	-30.097	eV per atom

Structure (CIF):
```
data_Rb2ZnI4
_symmetry_space_group_name_H-M 'P 1'
_symmetry_Int_Tables_number 1
_cell_length_a 7.631
_cell_length_b 8.024
_cell_length_c 10.248
_cell_angle_alpha 90.00
_cell_angle_beta 109.51
_cell_angle_gamma 90.00
loop_
_symmetry_equiv_pos_as_xyz
'x,y,z'
loop_
_atom_site_label
_atom_site_type_symbol
_atom_site_fract_x
_atom_site_fract_y
_atom_site_fract_z
_atom_site_occupancy
Rb1 Rb 0.211 0.250 0.417 1
Rb2 Rb 0.789 0.750 0.583 1
Rb3 Rb 0.702 0.750 0.041 1
Rb4 Rb 0.298 0.250 0.959 1
Zn1 Zn 0.302 0.750 0.214 1
Zn2 Zn 0.698 0.250 0.786 1
I1 I 0.870 0.250 0.053 1
I2 I 0.130 0.750 0.947 1
I3 I 0.916 0.250 0.640 1
I4 I 0.084 0.750 0.360 1
I5 I 0.478 0.993 0.723 1
I6 I 0.522 0.493 0.277 1
I7 I 0.522 0.007 0.277 1
I8 I 0.478 0.507 0.723 1
```

No. 6
Density functional theory data (meta-GGA SCAN) for Li2AgBi at its PBEsol-relaxed geometry.

distance to the lowest polymorph of the same formula	40	meV per atom
DOS(E_F)	0.346	states/eV/atom
symmetry	Fm-3m
DFT formation energy	-1.49	eV/f.u.
M_tot	0.00	μB per cell

Structure (CIF):
```
data_Li2AgBi
_symmetry_space_group_name_H-M 'P 1'
_symmetry_Int_Tables_number 1
_cell_length_a 4.675
_cell_length_b 4.675
_cell_length_c 4.675
_cell_angle_alpha 60.00
_cell_angle_beta 60.00
_cell_angle_gamma 60.00
loop_
_symmetry_equiv_pos_as_xyz
'x,y,z'
loop_
_atom_site_label
_atom_site_type_symbol
_atom_site_fract_x
_atom_site_fract_y
_atom_site_fract_z
_atom_site_occupancy
Bi1 Bi 0.500 0.500 0.500 1
Ag1 Ag 0.000 0.000 0.000 1
Li1 Li 0.250 0.250 0.250 1
Li2 Li 0.750 0.750 0.750 1
```

No. 7
Density functional theory data (meta-GGA SCAN) for TaMn2Zn at its PBEsol-relaxed geometry.

DOS(E_F)	0.411	states/eV/atom
symmetry	P4/mmm
DFT formation energy	-0.50	eV/f.u.
M_tot	3.26	μB per cell

Structure (CIF):
```
data_TaMn2Zn
_symmetry_space_group_name_H-M 'P 1'
_symmetry_Int_Tables_number 1
_cell_length_a 3.216
_cell_length_b 4.029
_cell_length_c 4.029
_cell_angle_alpha 90.00
_cell_angle_beta 90.00
_cell_angle_gamma 90.00
loop_
_symmetry_equiv_pos_as_xyz
'x,y,z'
loop_
_atom_site_label
_atom_site_type_symbol
_atom_site_fract_x
_atom_site_fract_y
_atom_site_fract_z
_atom_site_occupancy
Mn1 Mn 0.000 0.000 0.500 1
Mn2 Mn 0.000 0.500 0.000 1
Ta1 Ta 0.500 0.500 0.500 1
Zn1 Zn 0.500 0.000 0.000 1
```

No. 8
Density functional theory data (meta-GGA SCAN) for BaZr3As at its PBEsol-relaxed geometry.

DOS(E_F)	0.731	states/eV/atom
symmetry	Pm-3m
DFT formation energy	0.40	eV/f.u.
M_tot	0.00	μB per cell

Structure (CIF):
```
data_BaZr3As
_symmetry_space_group_name_H-M 'P 1'
_symmetry_Int_Tables_number 1
_cell_length_a 5.165
_cell_length_b 5.165
_cell_length_c 5.165
_cell_angle_alpha 90.00
_cell_angle_beta 90.00
_cell_angle_gamma 90.00
loop_
_symmetry_equiv_pos_as_xyz
'x,y,z'
loop_
_atom_site_label
_atom_site_type_symbol
_atom_site_fract_x
_atom_site_fract_y
_atom_site_fract_z
_atom_site_occupancy
As1 As 0.000 0.000 0.000 1
Ba1 Ba 0.500 0.500 0.500 1
Zr1 Zr 0.000 0.500 0.000 1
Zr2 Zr 0.000 0.000 0.500 1
Zr3 Zr 0.500 0.000 0.000 1
```